Record 1
This record from Alexandria describes a geometry-optimized KLi2PbCl structure. The functional is PBE.

## Properties
Formation energy from raw total energies in meV/atom: -358
E in eV/atom: -2.45

Geometry as POSCAR:
```
KLi2PbCl
1.0
4.999 0.000 0.000
0.000 6.469 0.000
0.000 0.000 4.999
Pb K Li Cl
1 1 2 1
Direct
0.000 0.500 0.000
0.500 0.500 0.500
0.000 0.000 0.500
0.500 0.000 0.000
0.000 0.000 0.000
```

Record 2
This record from Alexandria describes a geometry-optimized Ho3ErTm2 structure. The functional is PBE.

## Properties
E_form in eV per atom: 0.024
ΔE to the lowest computed polymorph in meV/atom: 0.0
E in eV/atom: -4.52

Geometry as POSCAR:
```
Ho3ErTm2
1.0
-5.687 1.888 -0.893
-0.143 -3.340 -6.153
-2.885 -5.379 6.971
Ho Er Tm
6 2 4
Direct
0.250 0.375 0.000
0.750 0.625 0.000
0.083 0.292 0.334
0.417 0.958 0.666
0.583 0.042 0.334
0.917 0.708 0.666
0.750 0.125 0.000
0.250 0.875 0.000
0.583 0.542 0.334
0.083 0.792 0.334
0.917 0.208 0.666
0.417 0.458 0.666
```

Record 3
This record from Alexandria describes a geometry-optimized AsIrRh2 structure. The functional is PBE.

## Properties
E_form in eV per atom: 0.526
E in eV/atom: -6.53

Geometry as POSCAR:
```
AsIrRh2
1.0
5.116 0.000 0.000
0.000 5.116 0.000
2.558 2.558 6.319
As Ir Rh
2 2 4
Direct
0.500 0.500 0.000
0.250 0.750 0.500
0.000 0.000 0.000
0.750 0.250 0.500
0.615 0.125 0.250
0.135 0.625 0.250
0.375 0.385 0.750
0.875 0.865 0.750
```

Record 4
This record from Alexandria describes a geometry-optimized Zr2CoSi2 structure. The functional is PBE.

## Properties
Formation energy from raw total energies in meV/atom: -896
E in eV/atom: -7.91

Geometry as POSCAR:
```
Zr2CoSi2
1.0
-3.162 -0.394 2.229
-2.081 -4.904 -0.427
3.144 -3.200 7.291
Si Co Zr
4 2 4
Direct
0.356 0.717 0.570
0.644 0.283 0.430
0.488 0.148 0.877
0.512 0.852 0.123
0.722 0.928 0.626
0.278 0.072 0.374
0.188 0.726 0.898
0.812 0.274 0.102
0.003 0.670 0.325
0.997 0.330 0.675
```

Record 5
This record from Alexandria describes a geometry-optimized ZrTeAu structure. The functional is PBE.

## Properties
Formation energy from raw total energies in meV/atom: -391
ΔE to the lowest computed polymorph in meV/atom: 157.1
E in eV/atom: -5.38

Geometry as POSCAR:
```
ZrTeAu
1.0
3.780 0.000 0.000
-1.890 3.274 0.000
0.000 0.000 6.284
Au Te Zr
1 1 1
Direct
0.000 0.000 0.961
0.333 0.667 0.367
0.667 0.333 0.672
```

Record 6
This record from Alexandria describes a geometry-optimized K2RbSiMo structure. The functional is PBE.

## Properties
Formation energy from raw total energies in meV/atom: 1875
E in eV/atom: -2.01

Geometry as POSCAR:
```
K2RbSiMo
1.0
6.387 0.000 0.000
0.000 5.996 0.000
0.000 0.000 6.387
Mo Si K Rb
1 1 2 1
Direct
0.000 0.500 0.000
0.500 0.500 0.500
0.000 0.000 0.500
0.500 0.000 0.000
0.000 0.000 0.000
```

Record 7
This record from Alexandria describes a geometry-optimized ReBiTe2 structure. The functional is PBE.

## Properties
Formation energy from raw total energies in meV/atom: 332
E in eV/atom: -5.32

Geometry as POSCAR:
```
ReBiTe2
1.0
2.172 0.000 9.650
-1.086 1.881 9.650
-1.086 -1.881 9.650
Re Te Bi
1 2 1
Direct
0.500 0.500 0.500
0.889 0.889 0.889
0.111 0.111 0.111
0.000 0.000 0.000
```

Record 8
This record from Alexandria describes a geometry-optimized LaYAu structure. The functional is PBE.

## Properties
E_form in eV per atom: -0.403
ΔE to the lowest computed polymorph in meV/atom: 173.5
E in eV/atom: -5.29

Geometry as POSCAR:
```
LaYAu
1.0
4.979 0.000 0.000
-2.490 4.312 0.000
0.000 0.000 4.078
Au La Y
1 1 1
Direct
0.000 0.000 0.915
0.667 0.333 0.302
0.333 0.667 0.782
```

Record 9
This record from Alexandria describes a geometry-optimized LaPmY structure. The functional is PBE.

## Properties
E_form in eV per atom: 0.025
ΔE to the lowest computed polymorph in meV/atom: 8.7
E in eV/atom: -5.36

Geometry as POSCAR:
```
LaPmY
1.0
-0.819 2.679 -2.373
-3.537 -0.978 0.116
1.027 4.011 7.015
Y La Pm
1 1 1
Direct
0.002 0.002 0.004
0.334 0.334 0.667
0.665 0.665 0.329
```

Record 10
This record from Alexandria describes a geometry-optimized SrPd2Se structure. The functional is PBE.

## Properties
Formation energy from raw total energies in meV/atom: -670
E in eV/atom: -4.56

Geometry as POSCAR:
```
SrPd2Se
1.0
5.064 0.000 0.000
0.000 5.064 0.000
2.532 2.532 8.195
Sr Se Pd
2 2 4
Direct
0.000 0.000 0.000
0.750 0.250 0.500
0.500 0.500 0.000
0.250 0.750 0.500
0.467 0.125 0.250
0.283 0.625 0.250
0.375 0.533 0.750
0.875 0.717 0.750
```

Record 11
This record from Alexandria describes a geometry-optimized BaCaP2 structure. The functional is PBE.

## Properties
E_form in eV per atom: -0.797
ΔE to the lowest computed polymorph in meV/atom: 98.9
E in eV/atom: -4.48

Geometry as POSCAR:
```
BaCaP2
1.0
5.315 0.001 0.001
-0.915 5.236 -0.001
-1.636 -3.092 4.001
Ba Ca P
1 1 2
Direct
0.750 0.250 0.500
0.250 0.750 0.500
0.080 0.080 0.000
0.420 0.420 0.000
```

Record 12
This record from Alexandria describes a geometry-optimized K3RuCl6 structure. The functional is PBE.

## Properties
Formation energy from raw total energies in meV/atom: -1372
ΔE to the lowest computed polymorph in meV/atom: 0.0
E in eV/atom: -3.74

Geometry as POSCAR:
```
K3RuCl6
1.0
7.302 0.000 -0.102
0.000 7.586 0.000
-0.059 0.000 10.479
K Ru Cl
6 2 12
Direct
0.523 0.927 0.745
0.500 0.500 0.000
0.477 0.073 0.255
0.023 0.573 0.245
0.000 0.000 0.500
0.977 0.427 0.755
0.500 0.500 0.500
0.000 0.000 0.000
0.733 0.169 0.947
0.659 0.234 0.556
0.603 0.473 0.286
0.397 0.527 0.714
0.341 0.766 0.444
0.267 0.831 0.053
0.233 0.331 0.447
0.159 0.266 0.056
0.103 0.027 0.786
0.897 0.973 0.214
0.841 0.734 0.944
0.767 0.669 0.553
```

Record 13
This record from Alexandria describes a geometry-optimized Y2Co2Ir structure. The functional is PBE.

## Properties
E_form in eV per atom: -0.302
ΔE to the lowest computed polymorph in meV/atom: 0.0
E in eV/atom: -7.50

Geometry as POSCAR:
```
Y2Co2Ir
1.0
-0.361 3.981 -5.335
-6.444 -1.546 -0.718
-1.011 3.107 2.387
Y Ir Co
4 2 4
Direct
0.185 0.685 0.500
0.685 0.815 0.500
0.815 0.315 0.500
0.315 0.185 0.500
0.000 0.000 0.000
0.500 0.500 0.000
0.381 0.881 0.000
0.881 0.619 0.000
0.619 0.119 0.000
0.119 0.381 0.000
```

Record 14
This record from Alexandria describes a geometry-optimized Rb2Nd4Se3O2 structure. The functional is PBE.

## Properties
Formation energy from raw total energies in meV/atom: -1814
E in eV/atom: -5.58

Geometry as POSCAR:
```
Rb2Nd4Se3O2
1.0
-3.561 2.876 1.450
-3.067 -3.688 -0.218
5.951 -2.511 11.644
Rb Nd Se O
2 4 3 2
Direct
0.300 0.300 0.600
0.700 0.700 0.400
0.426 0.926 0.852
0.926 0.426 0.852
0.074 0.574 0.148
0.574 0.074 0.148
0.000 0.000 0.000
0.155 0.155 0.309
0.845 0.845 0.691
0.408 0.408 0.817
0.592 0.592 0.183
```

Record 15
This record from Alexandria describes a geometry-optimized MgCuN2 structure. The functional is PBE.

## Properties
Formation energy from raw total energies in meV/atom: 937
E in eV/atom: -4.65

Geometry as POSCAR:
```
MgCuN2
1.0
-2.445 1.615 5.382
0.299 0.404 6.108
0.110 3.329 5.144
Mg Cu N
1 1 2
Direct
0.000 0.000 0.000
0.500 0.500 0.500
0.886 0.886 0.886
0.114 0.114 0.114
```

Record 16
This record from Alexandria describes a geometry-optimized Sc3Zn4Pt4 structure. The functional is PBE.

## Properties
E_form in eV per atom: -0.793
E in eV/atom: -5.18

Geometry as POSCAR:
```
Sc3Zn4Pt4
1.0
3.592 0.000 -0.894
-0.905 6.445 -3.640
0.134 0.338 8.205
Sc Zn Pt
3 4 4
Direct
0.117 0.117 0.233
0.883 0.883 0.767
0.000 0.500 0.000
0.330 0.130 0.660
0.670 0.470 0.340
0.670 0.870 0.340
0.330 0.530 0.660
0.233 0.733 0.466
0.767 0.267 0.534
0.500 0.805 0.000
0.500 0.195 0.000
```

Record 17
This record from Alexandria describes a geometry-optimized KAlTl2 structure. The functional is PBE.

## Properties
E_form in eV per atom: 0.186
ΔE to the lowest computed polymorph in meV/atom: 156.8
E in eV/atom: -2.21

Geometry as POSCAR:
```
KAlTl2
1.0
-1.557 0.324 5.269
-1.949 -4.458 2.573
2.998 -2.451 3.912
Tl K Al
2 1 1
Direct
0.000 0.000 0.000
0.250 0.250 0.250
0.750 0.750 0.750
0.500 0.500 0.500
```

Record 18
This record from Alexandria describes a geometry-optimized LiSiS2 structure. The functional is PBE.

## Properties
Formation energy from raw total energies in meV/atom: -646
E in eV/atom: -4.54

Geometry as POSCAR:
```
LiSiS2
1.0
4.093 0.000 0.000
0.000 5.960 0.030
0.000 -0.053 6.467
Li Si S
2 2 4
Direct
0.000 0.000 0.000
0.500 0.000 0.500
0.500 0.645 0.190
0.500 0.355 0.810
0.000 0.253 0.690
0.500 0.271 0.143
0.500 0.729 0.857
0.000 0.747 0.310
```

Record 19
This record from Alexandria describes a geometry-optimized Dy2PuCd structure. The functional is PBE.

## Properties
E_form in eV per atom: 0.220
ΔE to the lowest computed polymorph in meV/atom: 280.0
E in eV/atom: -5.89

Geometry as POSCAR:
```
Dy2PuCd
1.0
-2.567 -2.177 0.418
-0.696 -1.229 3.083
-8.417 7.879 3.104
Cd Dy Pu
1 2 1
Direct
0.500 0.500 0.500
0.093 0.093 0.720
0.907 0.907 0.280
0.000 0.000 0.000
```

Record 20
This record from Alexandria describes a geometry-optimized HoCrCl structure. The functional is PBE.

## Properties
Formation energy from raw total energies in meV/atom: -265
E in eV/atom: -5.61

Geometry as POSCAR:
```
HoCrCl
1.0
-5.014 0.840 0.043
-3.973 0.471 -3.137
-1.951 -8.368 2.128
Cr Ho Cl
2 2 2
Direct
0.618 0.087 0.717
0.951 0.420 0.717
0.660 0.816 0.400
0.347 0.129 0.033
0.893 0.138 0.490
0.669 0.363 0.943
```